## FeCo8Ni3 (PBE)

Data for FeCo8Ni3 after structural relaxation.

a b c (Å): 4.323 4.323 8.132
angles (deg): 90.00 90.00 120.00
Site moments in Bohr magnetons follow the coordinates.
Atoms (fractional coordinates):
Fe: 0.000 0.000 0.500  2.51
Co: 0.666 0.000 0.251  1.67
Co: 0.334 0.334 0.251  1.67
Co: 0.000 0.666 0.251  1.67
Co: 0.334 0.000 0.749  1.67
Co: 0.666 0.666 0.749  1.67
Co: 0.000 0.334 0.749  1.67
Co: 0.667 0.333 0.500  1.60
Co: 0.333 0.667 0.500  1.60
Ni: 0.667 0.333 0.000  0.71
Ni: 0.333 0.667 0.000  0.71
Ni: 0.000 0.000 0.000  0.72

***

## FeCo4Ni3 (PBE)

Data for FeCo4Ni3 after structural relaxation.

a b c (Å): 2.495 3.953 9.783
angles (deg): 101.67 90.00 90.00
Site moments in Bohr magnetons follow the coordinates.
Atoms (fractional coordinates):
Ni: 0.500 0.000 0.000  0.75
Ni: 0.000 0.158 0.317  0.78
Ni: 0.000 0.842 0.683  0.78
Co: 0.500 0.397 0.793  1.69
Co: 0.500 0.603 0.207  1.69
Co: 0.499 0.722 0.444  1.73
Co: 0.501 0.278 0.556  1.73
Fe: 0.000 0.500 0.000  2.40

Properties
ΔE to the lowest computed polymorph   66.4 kJ/mol of formula units

***

## FeCo2Ni4 (PBE)

Data for FeCo2Ni4 after structural relaxation.

a b c (Å): 2.472 15.612 8.544
angles (deg): 90.00 90.00 108.31
Site moments in Bohr magnetons follow the coordinates.
Atoms (fractional coordinates):
Ni: 0.964 0.482 0.638  0.66
Ni: 0.140 0.571 0.087  0.69
Ni: 0.416 0.208 0.761  0.70
Ni: 0.067 0.283 0.995  0.62
Ni: 0.933 0.217 0.495  0.62
Ni: 0.584 0.292 0.261  0.70
Ni: 0.860 0.929 0.587  0.69
Ni: 0.036 0.018 0.138  0.66
Ni: 0.964 0.982 0.862  0.66
Ni: 0.140 0.071 0.413  0.69
Ni: 0.416 0.708 0.739  0.70
Ni: 0.067 0.783 0.505  0.62
Ni: 0.933 0.717 0.005  0.62
Ni: 0.584 0.792 0.239  0.70
Ni: 0.860 0.429 0.913  0.69
Ni: 0.036 0.518 0.362  0.66
Co: 0.189 0.344 0.713  1.73
Co: 0.265 0.383 0.450  1.71
Co: 0.735 0.117 0.950  1.71
Co: 0.811 0.156 0.213  1.73
Co: 0.189 0.844 0.787  1.73
Co: 0.265 0.883 0.050  1.71
Co: 0.735 0.617 0.550  1.71
Co: 0.811 0.656 0.287  1.73
Fe: 0.355 0.427 0.162  2.66
Fe: 0.645 0.073 0.662  2.66
Fe: 0.355 0.927 0.338  2.66
Fe: 0.645 0.573 0.838  2.66

Properties
ΔE to the lowest computed polymorph   0.0 kJ/mol of formula units

***

## Fe4Co3Ni2 (PBE)

Data for Fe4Co3Ni2 after structural relaxation.

a b c (Å): 4.446 4.657 6.199
angles (deg): 80.18 69.07 61.49
Site moments in Bohr magnetons follow the coordinates.
Atoms (fractional coordinates):
Fe: 0.669 0.305 0.358  2.65
Fe: 0.973 0.695 0.358  2.65
Fe: 0.331 0.695 0.642  2.65
Fe: 0.027 0.305 0.642  2.65
Co: 0.000 0.500 0.000  1.64
Co: 0.000 0.000 0.000  1.61
Co: 0.500 0.500 0.000  1.64
Ni: 0.614 0.000 0.771  0.76
Ni: 0.386 0.000 0.229  0.76

***

## Fe2Co3Ni (PBE)

Data for Fe2Co3Ni after structural relaxation.

a b c (Å): 3.928 5.855 6.868
angles (deg): 115.23 106.62 90.00
Site moments in Bohr magnetons follow the coordinates.
Atoms (fractional coordinates):
Fe: 0.337 0.337 0.673  2.74
Fe: 0.663 0.163 0.327  2.74
Fe: 0.337 0.837 0.673  2.74
Fe: 0.663 0.663 0.327  2.74
Co: 0.500 0.250 0.000  1.68
Co: 0.500 0.750 0.000  1.68
Co: 0.831 0.081 0.663  1.70
Co: 0.169 0.419 0.337  1.70
Co: 0.169 0.919 0.337  1.70
Co: 0.831 0.581 0.663  1.70
Ni: 0.000 0.500 0.000  0.61
Ni: 0.000 0.000 0.000  0.61

Properties
ΔE to the lowest computed polymorph   0.0 kJ/mol of formula units

***

## Fe2CoNi3 (PBE)

Data for Fe2CoNi3 after structural relaxation.

a b c (Å): 4.834 4.864 6.999
angles (deg): 110.33 110.20 90.00
Site moments in Bohr magnetons follow the coordinates.
Atoms (fractional coordinates):
Fe: 0.330 0.567 0.659  2.90
Fe: 0.670 0.433 0.341  2.90
Fe: 0.170 0.908 0.341  2.90
Fe: 0.830 0.092 0.659  2.90
Co: 0.250 0.000 0.000  1.61
Co: 0.750 0.000 0.000  1.61
Ni: 0.750 0.500 0.000  0.61
Ni: 0.250 0.500 0.000  0.61
Ni: 0.640 0.896 0.279  0.74
Ni: 0.140 0.383 0.279  0.74
Ni: 0.860 0.617 0.721  0.74
Ni: 0.360 0.104 0.721  0.74

Properties
ΔE to the lowest computed polymorph   140.4 kJ/mol of formula units

***

## Fe2Co5Ni5 (PBE)

Data for Fe2Co5Ni5 after structural relaxation.

a b c (Å): 3.560 5.579 7.483
angles (deg): 72.28 76.24 71.39
Site moments in Bohr magnetons follow the coordinates.
Atoms (fractional coordinates):
Fe: 0.916 0.418 0.750  2.73
Fe: 0.084 0.582 0.250  2.73
Co: 0.830 0.838 0.503  1.64
Co: 0.248 0.756 0.747  1.66
Co: 0.752 0.244 0.253  1.66
Co: 0.170 0.162 0.497  1.64
Co: 0.000 0.000 0.000  1.68
Ni: 0.500 0.500 0.500  0.70
Ni: 0.334 0.331 0.000  0.68
Ni: 0.417 0.917 0.250  0.73
Ni: 0.583 0.083 0.750  0.73
Ni: 0.666 0.669 0.000  0.68

***

## Fe2Co12Ni (PBE)

Data for Fe2Co12Ni after structural relaxation.

a b c (Å): 4.596 4.596 17.186
angles (deg): 90.00 90.00 90.00
Site moments in Bohr magnetons follow the coordinates.
Atoms (fractional coordinates):
Fe: 0.500 0.000 0.278  2.93
Fe: 0.000 0.500 0.278  2.93
Fe: 0.000 0.500 0.722  2.93
Fe: 0.500 0.000 0.722  2.93
Co: 0.500 0.500 0.789  1.69
Co: 0.000 0.000 0.789  1.69
Co: 0.798 0.702 0.888  1.67
Co: 0.298 0.798 0.888  1.67
Co: 0.000 0.000 0.342  1.52
Co: 0.202 0.702 0.112  1.67
Co: 0.826 0.326 0.560  -0.20
Co: 0.500 0.500 0.342  1.52
Co: 0.202 0.298 0.888  1.67
Co: 0.702 0.798 0.112  1.67
Co: 0.326 0.174 0.560  -0.20
Co: 0.674 0.174 0.440  -0.20
Co: 0.000 0.000 0.658  1.52
Co: 0.174 0.326 0.440  -0.20
Co: 0.298 0.202 0.112  1.67
Co: 0.826 0.674 0.440  -0.20
Co: 0.674 0.826 0.560  -0.20
Co: 0.000 0.000 0.211  1.69
Co: 0.174 0.674 0.560  -0.20
Co: 0.500 0.500 0.658  1.52
Co: 0.702 0.202 0.888  1.67
Co: 0.500 0.500 0.211  1.69
Co: 0.326 0.826 0.440  -0.20
Co: 0.798 0.298 0.112  1.67
Ni: 0.500 0.000 0.000  0.77
Ni: 0.000 0.500 0.000  0.77

***

## FeCo4Ni3 (PBE)

Data for FeCo4Ni3 after structural relaxation.

a b c (Å): 2.419 4.707 8.476
angles (deg): 106.12 98.21 90.00
Site moments in Bohr magnetons follow the coordinates.
Atoms (fractional coordinates):
Fe: 0.500 0.000 0.000  2.69
Co: 0.374 0.616 0.748  1.76
Co: 0.626 0.384 0.252  1.76
Co: 0.626 0.868 0.252  1.76
Co: 0.374 0.132 0.748  1.76
Ni: 0.237 0.237 0.473  0.65
Ni: 0.763 0.763 0.527  0.65
Ni: 0.000 0.500 0.000  0.61

Properties
ΔE to the lowest computed polymorph   0.0 kJ/mol of formula units

***

## FeCo2Ni (PBE)

Data for FeCo2Ni after structural relaxation.

a b c (Å): 3.999 3.999 3.999
angles (deg): 60.00 60.00 60.00
Site moments in Bohr magnetons follow the coordinates.
Atoms (fractional coordinates):
Fe: 0.500 0.500 0.500  2.76
Co: 0.000 0.000 0.000  1.70
Co: 0.250 0.250 0.250  1.80
Ni: 0.750 0.750 0.750  0.70

Properties
ΔE to the lowest computed polymorph   40.2 kJ/mol of formula units

***

## Fe3Co3Ni (PBE)

Data for Fe3Co3Ni after structural relaxation.

a b c (Å): 6.151 6.151 6.300
angles (deg): 60.78 60.78 60.00
Site moments in Bohr magnetons follow the coordinates.
Atoms (fractional coordinates):
Fe: 0.195 0.712 0.188  2.60
Fe: 0.904 0.195 0.188  2.60
Fe: 0.712 0.904 0.188  2.60
Fe: 0.288 0.096 0.812  2.60
Fe: 0.096 0.805 0.812  2.60
Fe: 0.805 0.288 0.812  2.60
Co: 0.562 0.741 0.647  1.69
Co: 0.741 0.050 0.647  1.69
Co: 0.050 0.562 0.647  1.69
Co: 0.950 0.438 0.353  1.69
Co: 0.259 0.950 0.353  1.69
Co: 0.438 0.259 0.353  1.69
Ni: 0.347 0.347 0.959  0.76
Ni: 0.653 0.653 0.041  0.76

Properties
ΔE to the lowest computed polymorph   63.5 kJ/mol of formula units

***

## Fe2Co8Ni (PBE)

Data for Fe2Co8Ni after structural relaxation.

a b c (Å): 2.492 6.133 9.063
angles (deg): 62.85 82.12 90.09
Site moments in Bohr magnetons follow the coordinates.
Atoms (fractional coordinates):
Ni: 0.999 0.000 0.970  0.71
Co: 0.911 0.545 0.147  1.62
Co: 0.180 0.913 0.609  1.61
Co: 0.364 0.817 0.241  1.66
Co: 0.453 0.272 0.062  1.68
Co: 0.635 0.184 0.699  1.66
Co: 0.819 0.087 0.331  1.61
Co: 0.088 0.455 0.792  1.62
Co: 0.546 0.728 0.877  1.68
Fe: 0.274 0.360 0.421  2.55
Fe: 0.725 0.640 0.519  2.55

***

## FeCo2Ni (PBE)

Data for FeCo2Ni after structural relaxation.

a b c (Å): 4.340 4.340 10.029
angles (deg): 90.00 90.00 70.30
Site moments in Bohr magnetons follow the coordinates.
Atoms (fractional coordinates):
Fe: 0.250 0.750 0.628  2.68
Fe: 0.750 0.250 0.872  2.68
Fe: 0.750 0.250 0.372  2.68
Fe: 0.250 0.750 0.128  2.68
Co: 0.250 0.250 0.500  1.58
Co: 0.750 0.750 0.000  1.58
Co: 0.750 0.750 0.500  1.58
Co: 0.250 0.250 0.000  1.58
Co: 0.250 0.750 0.880  1.66
Co: 0.750 0.250 0.620  1.66
Co: 0.750 0.250 0.120  1.66
Co: 0.250 0.750 0.380  1.66
Ni: 0.250 0.250 0.750  0.70
Ni: 0.750 0.750 0.750  0.70
Ni: 0.750 0.750 0.250  0.70
Ni: 0.250 0.250 0.250  0.70

Properties
ΔE to the lowest computed polymorph   2.2 kJ/mol of formula units

***

## Fe3CoNi4 (PBE)

Data for Fe3CoNi4 after structural relaxation.

a b c (Å): 2.519 4.034 9.857
angles (deg): 81.73 97.34 90.00
Site moments in Bohr magnetons follow the coordinates.
Atoms (fractional coordinates):
Ni: 0.398 0.645 0.797  0.66
Ni: 0.602 0.355 0.203  0.66
Ni: 0.336 0.186 0.672  0.75
Ni: 0.664 0.814 0.328  0.75
Co: 0.500 0.000 0.000  1.73
Fe: 0.000 0.500 0.000  2.47
Fe: 0.785 0.723 0.570  2.65
Fe: 0.215 0.277 0.430  2.65

***

## FeCo2Ni (PBE)

Data for FeCo2Ni after structural relaxation.

a b c (Å): 4.347 4.347 4.347
angles (deg): 131.97 131.99 70.26
Site moments in Bohr magnetons follow the coordinates.
Atoms (fractional coordinates):
Co: 0.000 0.000 0.000  1.63
Co: 0.500 0.500 0.000  1.63
Fe: 0.750 0.250 0.500  2.63
Ni: 0.250 0.750 0.500  0.73

Properties
ΔE to the lowest computed polymorph   8.3 kJ/mol of formula units

***

## FeCoNi (PBE)

Data for FeCoNi after structural relaxation.

a b c (Å): 4.633 4.633 4.633
angles (deg): 143.96 143.96 51.89
Site moments in Bohr magnetons follow the coordinates.
Atoms (fractional coordinates):
Co: 0.993 0.993 0.000  1.69
Fe: 0.337 0.337 0.000  2.77
Ni: 0.669 0.669 0.000  0.72

Properties
ΔE to the lowest computed polymorph   12.8 kJ/mol of formula units

***

## FeCo2Ni (PBE)

Data for FeCo2Ni after structural relaxation.

a b c (Å): 6.406 6.406 5.129
angles (deg): 51.35 51.35 90.00
Site moments in Bohr magnetons follow the coordinates.
Atoms (fractional coordinates):
Ni: 0.000 0.000 0.000  0.75
Ni: 0.750 0.250 0.500  0.75
Co: 0.625 0.125 0.250  1.76
Co: 0.125 0.625 0.250  1.76
Co: 0.375 0.375 0.750  1.76
Co: 0.875 0.875 0.750  1.76
Fe: 0.500 0.500 0.000  2.80
Fe: 0.250 0.750 0.500  2.80

Properties
ΔE to the lowest computed polymorph   201.0 kJ/mol of formula units

***

## FeCo5Ni6 (PBE)

Data for FeCo5Ni6 after structural relaxation.

a b c (Å): 6.716 6.716 7.106
angles (deg): 90.00 90.00 120.00
Site moments in Bohr magnetons follow the coordinates.
Atoms (fractional coordinates):
Ni: 0.690 0.000 0.083  0.68
Ni: 0.000 0.690 0.083  0.68
Ni: 0.310 0.310 0.083  0.68
Ni: 0.310 0.000 0.583  0.68
Ni: 0.000 0.310 0.583  0.68
Ni: 0.690 0.690 0.583  0.68
Ni: 0.000 0.690 0.417  0.68
Ni: 0.690 0.000 0.417  0.68
Ni: 0.310 0.310 0.417  0.68
Ni: 0.000 0.310 0.917  0.68
Ni: 0.310 0.000 0.917  0.68
Ni: 0.690 0.690 0.917  0.68
Co: 0.667 0.333 0.000  1.75
Co: 0.333 0.667 0.500  1.75
Co: 0.333 0.667 0.000  1.75
Co: 0.667 0.333 0.500  1.75
Co: 0.373 0.000 0.250  1.71
Co: 0.000 0.373 0.250  1.71
Co: 0.627 0.627 0.250  1.71
Co: 0.627 0.000 0.750  1.71
Co: 0.000 0.627 0.750  1.71
Co: 0.373 0.373 0.750  1.71
Fe: 0.000 0.000 0.250  2.77
Fe: 0.000 0.000 0.750  2.77

***

## FeCo2Ni8 (PBE)

Data for FeCo2Ni8 after structural relaxation.

a b c (Å): 4.200 6.337 6.435
angles (deg): 60.51 75.34 59.07
Site moments in Bohr magnetons follow the coordinates.
Atoms (fractional coordinates):
Fe: 0.500 0.000 0.000  2.90
Co: 0.000 0.308 0.385  1.76
Co: 0.000 0.692 0.615  1.76
Ni: 0.854 0.098 0.229  0.68
Ni: 0.854 0.327 0.771  0.68
Ni: 0.307 0.416 0.000  0.66
Ni: 0.500 0.788 0.423  0.72
Ni: 0.500 0.212 0.577  0.72
Ni: 0.693 0.584 0.000  0.66
Ni: 0.146 0.673 0.229  0.68
Ni: 0.146 0.902 0.771  0.68

***

## FeCoNi (PBE)

Data for FeCoNi after structural relaxation.

a b c (Å): 4.370 4.370 4.370
angles (deg): 146.84 131.98 59.60
Site moments in Bohr magnetons follow the coordinates.
Atoms (fractional coordinates):
Co: 0.001 0.001 0.000  1.62
Fe: 0.334 0.334 0.000  2.62
Ni: 0.665 0.665 0.000  0.71

Properties
ΔE to the lowest computed polymorph   0.7 kJ/mol of formula units

***

## Fe2Co2Ni7 (PBE)

Data for Fe2Co2Ni7 after structural relaxation.

a b c (Å): 4.676 5.591 5.591
angles (deg): 96.74 107.68 107.68
Site moments in Bohr magnetons follow the coordinates.
Atoms (fractional coordinates):
Fe: 0.545 0.339 0.339  2.87
Fe: 0.455 0.661 0.661  2.87
Co: 0.000 0.137 0.863  1.83
Co: 0.000 0.863 0.137  1.83
Ni: 0.701 0.934 0.422  0.70
Ni: 0.299 0.578 0.066  0.70
Ni: 0.299 0.066 0.578  0.70
Ni: 0.701 0.422 0.934  0.70
Ni: 0.500 0.000 0.000  0.72
Ni: 0.974 0.680 0.680  0.69
Ni: 0.026 0.320 0.320  0.69

Properties
ΔE to the lowest computed polymorph   71.5 kJ/mol of formula units

***

| no. | total DFT energy (no corrections) (eV per formula unit) | formation energy (eV per atom) | N(E_F) (states/eV/f.u.) |
| --- | --- | --- | --- |
| 1 | -82.6 | 0.01 | 11.582 |
| 2 | -52.1 | 0.27 | 8.364 |
| 3 | -45.5 | 0.04 | 7.650 |
| 4 | -65.7 | 0.11 | 8.265 |
| 5 | -44.0 | 0.00 | 6.942 |
| 6 | -40.3 | 0.18 | 5.555 |
| 7 | -81.6 | -0.02 | 12.609 |
| 8 | -101.2 | 0.45 | 24.198 |
| 9 | -52.8 | 0.18 | 9.954 |
| 10 | -28.1 | 0.08 | 8.851 |
| 11 | -50.5 | 0.28 | 5.845 |
| 12 | -79.3 | 0.02 | 10.933 |
| 13 | -28.5 | -0.02 | 3.873 |
| 14 | -53.4 | 0.27 | 7.858 |
| 15 | -28.5 | 0.00 | 4.024 |
| 16 | -21.2 | 0.05 | 4.190 |
| 17 | -26.5 | 0.50 | 5.693 |
| 18 | -76.5 | 0.18 | 13.950 |
| 19 | -66.4 | 0.23 | 14.232 |
| 20 | -21.3 | 0.00 | 3.549 |
| 21 | -69.9 | 0.16 | 9.386 |